1.
Computed, not measured: a geometry-optimized Y2Zn2Si3 structure at the GGA-PBE level of DFT.

Cell lengths 9.1817, 9.1817, 9.1817 Å; angles 26.60, 26.60, 26.60 degrees
Closest atoms and distances in Å follow each position.
Positions (direct):
Si 0.3584 0.3584 0.3584  3 Zn 2.48, 3 Si 2.72
Si 0.6460 0.6460 0.6460  3 Zn 2.55, 3 Si 2.72
Si 0.8574 0.8574 0.8574  3 Zn 2.50, 1 Y 2.74
Y 0.2485 0.2485 0.2485  7 Si 2.88-2.98, 3 Zn 3.22
Y 0.7541 0.7541 0.7541  5 Si 2.74-2.95
Zn 0.0078 0.0078 0.0078  6 Si 2.48-2.55
Zn 0.5028 0.5028 0.5028  3 Si 2.50

Values from the calculation:
Energy: -4.8099 eV per atom
Calculated volume: 137 Å³ per cell
Density: 4.77 g/cm³



2.
Computed, not measured: a geometry-optimized YZr2Si structure at the GGA-PBE level of DFT.

Cell lengths 4.9674, 4.9674, 4.9674 Å; angles 60.00, 60.00, 60.00 degrees
Closest atoms and distances in Å follow each position.
Positions (direct):
Si 0.5000 0.5000 0.5000  4 Y 3.04, 4 Zr 3.04
Y 0.2500 0.2500 0.2500  4 Si 3.04, 4 Zr 3.04
Zr 0.0000 0.0000 0.0000  4 Zr 3.04, 4 Y 3.04
Zr 0.7500 0.7500 0.7500  4 Zr 3.04, 4 Si 3.04

Values from the calculation:
Energy: -7.3098 eV per atom
Calculated volume: 87 Å³ per cell
Density: 5.74 g/cm³



3.
Computed, not measured: a geometry-optimized ZnSi structure at the GGA-PBE level of DFT.

Cell lengths 3.9234, 3.9234, 3.9234 Å; angles 60.00, 60.00, 60.00 degrees
Closest atoms and distances in Å follow each position.
Positions (direct):
Si 0.0000 0.0000 0.0000  4 Zn 2.40
Zn 0.2500 0.2500 0.2500  4 Si 2.40

Values from the calculation:
Energy: -2.6992 eV per atom
Calculated volume: 43 Å³ per cell
Density: 3.64 g/cm³



4.
Computed, not measured: a geometry-optimized ZnSi structure at the GGA-PBE level of DFT.

Cell lengths 4.7571, 5.5222, 4.6240 Å; angles 90.00, 90.00, 90.00 degrees
Closest atoms and distances in Å follow each position.
Positions (direct):
Si 0.0015 0.0000 0.0000  6 Zn 2.75-2.76, 6 Si 2.77-2.80
Si 0.3322 0.0000 0.5000  6 Si 2.71-2.80, 6 Zn 2.76-2.82
Si 0.8324 0.2354 0.5000  5 Si 2.60-2.77, 6 Zn 2.79-2.85
Si 0.8324 0.7646 0.5000  5 Si 2.60-2.77, 6 Zn 2.79-2.85
Zn 0.5002 0.2528 0.0000  6 Zn 2.73-2.80, 6 Si 2.75-2.82
Zn 0.0032 0.5000 0.0000  6 Zn 2.73-2.79, 6 Si 2.76-2.85
Zn 0.5002 0.7472 0.0000  6 Zn 2.73-2.80, 6 Si 2.75-2.82
Zn 0.3313 0.5000 0.5000  6 Si 2.76-2.80, 6 Zn 2.79-2.80

Values from the calculation:
Energy: -2.9937 eV per atom
Calculated volume: 121 Å³ per cell
Density: 5.11 g/cm³



5.
Computed, not measured: a geometry-optimized Zn2Si structure at the GGA-PBE level of DFT.

Cell lengths 4.9683, 7.8239, 4.7353 Å; angles 90.00, 90.00, 90.00 degrees
Closest atoms and distances in Å follow each position.
Positions (direct):
Si 0.9734 0.0004 0.0000  7 Zn 2.61-2.88, 3 Si 2.61-2.76
Si 0.9734 0.6662 0.0000  7 Zn 2.61-2.88, 3 Si 2.61-2.76
Si 0.8599 0.1662 0.5000  7 Zn 2.61-2.88, 3 Si 2.61-2.76
Si 0.8599 0.5004 0.5000  7 Zn 2.61-2.88, 3 Si 2.61-2.76
Zn 0.4899 0.1668 0.0000  8 Zn 2.61-2.84, 2 Si 2.73-2.88
Zn 0.9985 0.3333 0.0000  6 Si 2.61-2.79, 4 Zn 2.77-2.84
Zn 0.4899 0.4999 0.0000  8 Zn 2.61-2.84, 2 Si 2.73-2.88
Zn 0.4822 0.8333 0.0000  6 Zn 2.61-2.79, 4 Si 2.77-2.85
Zn 0.3511 0.3333 0.5000  6 Zn 2.61-2.79, 4 Si 2.77-2.85
Zn 0.3434 0.6668 0.5000  8 Zn 2.61-2.84, 2 Si 2.73-2.88
Zn 0.8348 0.8333 0.5000  6 Si 2.61-2.79, 4 Zn 2.77-2.84
Zn 0.3434 0.9999 0.5000  8 Zn 2.61-2.84, 2 Si 2.73-2.88

Values from the calculation:
Energy: -2.3888 eV per atom
Calculated volume: 184 Å³ per cell
Density: 5.73 g/cm³



6.
Computed, not measured: a geometry-optimized ZnSi structure at the GGA-PBE level of DFT.

Cell lengths 4.9908, 5.1302, 4.9117 Å; angles 90.00, 90.00, 90.00 degrees
Closest atoms and distances in Å follow each position.
Positions (direct):
Si 0.8924 0.6024 0.0000  4 Si 2.48-2.51, 2 Zn 2.67-2.68
Si 0.3924 0.6476 0.0000  4 Si 2.48-2.51, 2 Zn 2.67-2.68
Si 0.4409 0.6024 0.5000  4 Si 2.48-2.51, 2 Zn 2.67-2.68
Si 0.9409 0.6476 0.5000  4 Si 2.48-2.51, 2 Zn 2.67-2.68
Zn 0.0439 0.1032 0.0000  6 Zn 2.51-2.77, 2 Si 2.67-2.68
Zn 0.5439 0.1468 0.0000  6 Zn 2.51-2.77, 2 Si 2.67-2.68
Zn 0.2895 0.1032 0.5000  6 Zn 2.51-2.77, 2 Si 2.67-2.68
Zn 0.7895 0.1468 0.5000  6 Zn 2.51-2.77, 2 Si 2.67-2.68

Values from the calculation:
Energy: -3.0753 eV per atom
Calculated volume: 126 Å³ per cell
Density: 4.94 g/cm³



7.
Computed, not measured: a geometry-optimized Zn2Si structure at the GGA-PBE level of DFT.

Cell lengths 14.5507, 2.6294, 4.8060 Å; angles 90.00, 90.00, 90.00 degrees
Closest atoms and distances in Å follow each position.
Positions (direct):
Si 0.3315 0.0000 0.0000  2 Si 2.63, 10 Zn 2.74-2.94
Si 0.8315 0.5000 0.0000  2 Si 2.63, 10 Zn 2.74-2.94
Si 0.1130 0.0000 0.5000  2 Si 2.63, 10 Zn 2.74-2.94
Si 0.6130 0.5000 0.5000  2 Si 2.63, 10 Zn 2.74-2.94
Zn 0.6623 0.0000 0.0000  4 Zn 2.63-2.74, 6 Si 2.79-2.83
Zn 0.9970 0.0000 0.0000  8 Zn 2.63-2.83, 4 Si 2.74-2.94
Zn 0.1623 0.5000 0.0000  4 Zn 2.63-2.74, 6 Si 2.79-2.83
Zn 0.4970 0.5000 0.0000  8 Zn 2.63-2.83, 4 Si 2.74-2.94
Zn 0.4475 0.0000 0.5000  8 Zn 2.63-2.83, 4 Si 2.74-2.94
Zn 0.7821 0.0000 0.5000  4 Zn 2.63-2.74, 6 Si 2.79-2.83
Zn 0.2821 0.5000 0.5000  4 Zn 2.63-2.74, 6 Si 2.79-2.83
Zn 0.9475 0.5000 0.5000  8 Zn 2.63-2.83, 4 Si 2.74-2.94

Values from the calculation:
Energy: -2.3844 eV per atom
Calculated volume: 184 Å³ per cell
Density: 5.74 g/cm³



8.
Computed, not measured: a geometry-optimized ZnSi structure at the GGA-PBE level of DFT.

Cell lengths 4.6299, 7.0968, 5.0620 Å; angles 90.00, 90.00, 71.25 degrees
Closest atoms and distances in Å follow each position.
Positions (direct):
Si 0.6551 0.4144 0.0000  5 Si 2.51-2.66, 2 Zn 2.55-2.74
Si 0.0557 0.6002 0.0000  4 Zn 2.54-2.76, 4 Si 2.60-2.66
Si 0.4695 0.7882 0.0000  5 Si 2.51-2.66, 2 Zn 2.57-2.72
Si 0.5946 0.4087 0.5000  3 Si 2.55-2.56, 4 Zn 2.58-2.72
Si 0.4064 0.7893 0.5000  3 Si 2.55-2.56, 4 Zn 2.56-2.73
Zn 0.9083 0.0085 0.0000  3 Si 2.57-2.75, 4 Zn 2.62-2.63
Zn 0.3170 0.1921 0.0000  3 Si 2.55-2.76, 4 Zn 2.62-2.63
Zn 0.7565 0.0052 0.5000  2 Si 2.56-2.72, 5 Zn 2.63-2.74
Zn 0.1620 0.1938 0.5000  3 Si 2.58-2.88, 5 Zn 2.63-2.74
Zn 0.0080 0.5996 0.5000  6 Si 2.54-2.68, 2 Zn 2.74

Values from the calculation:
Energy: -3.0410 eV per atom
Calculated volume: 158 Å³ per cell
Density: 4.93 g/cm³



9.
Computed, not measured: a geometry-optimized ZnSi2 structure at the GGA-PBE level of DFT.

Cell lengths 5.1136, 5.1136, 5.1136 Å; angles 60.00, 60.00, 60.00 degrees
Closest atoms and distances in Å follow each position.
Positions (direct):
Si 0.6250 0.6250 0.1250  6 Si 2.56
Si 0.6250 0.1250 0.6250  6 Si 2.56
Si 0.1250 0.6250 0.6250  6 Si 2.56
Si 0.6250 0.6250 0.6250  6 Si 2.56
Zn 0.0000 0.0000 0.0000  12 Si 3.00, 4 Zn 3.13
Zn 0.2500 0.2500 0.2500  12 Si 3.00, 4 Zn 3.13

Values from the calculation:
Energy: -3.5725 eV per atom
Calculated volume: 95 Å³ per cell
Density: 4.27 g/cm³



10.
Computed, not measured: a geometry-optimized ZnSi structure at the GGA-PBE level of DFT.

Cell lengths 4.9609, 8.4312, 4.7952 Å; angles 90.00, 90.00, 91.03 degrees
Closest atoms and distances in Å follow each position.
Positions (direct):
Si 0.8498 0.0638 0.0000  4 Si 2.44-2.51, 2 Zn 2.68-2.72
Si 0.3493 0.1026 0.0000  4 Si 2.44-2.51, 1 Zn 2.65
Si 0.3290 0.0491 0.5000  5 Si 2.38-2.56
Si 0.8289 0.1171 0.5000  5 Si 2.38-2.56
Si 0.8355 0.3991 0.5000  1 Si 2.38, 3 Zn 2.52-2.58
Si 0.3226 0.7670 0.5000  1 Si 2.38, 3 Zn 2.53-2.58
Zn 0.0891 0.3743 0.0000  2 Zn 2.48-2.50, 3 Si 2.65-2.72
Zn 0.5882 0.4012 0.0000  4 Zn 2.48-2.76, 3 Si 2.69-2.76
Zn 0.0750 0.7726 0.0000  4 Zn 2.47-2.76, 3 Si 2.69-2.72
Zn 0.5772 0.7871 0.0000  2 Zn 2.47-2.49, 3 Si 2.68-2.71
Zn 0.3350 0.4609 0.5000  3 Si 2.52-2.58, 4 Zn 2.76-2.78
Zn 0.8202 0.7051 0.5000  3 Si 2.53-2.58, 4 Zn 2.76-2.78

Values from the calculation:
Energy: -3.1114 eV per atom
Calculated volume: 201 Å³ per cell
Density: 4.65 g/cm³